No. 1
Here is Nd4AlGe3 after structural relaxation from Alexandria. Energies are from PBE.

Cell lengths 4.504, 4.097, 11.237 Å; angles 90.00, 90.00, 90.00 degrees
Atoms (fractional coordinates):
1 Ge 0.000 0.000 0.423
2 Nd 0.500 0.000 0.638
3 Ge 0.500 0.000 0.922
4 Nd 0.500 0.500 0.363
5 Al 0.500 0.500 0.070
6 Nd 0.000 0.000 0.143
7 Nd 0.000 0.500 0.858
8 Ge 0.000 0.500 0.582

Values from the calculation:
As for the space group: Pmm2. The total magnetization is 0.113 μB/f.u. The calculation puts the calculated volume at 207.4 Å³/cell. The value obtained for the energy of formation from the pure elements is -72.7 kJ/mol of atoms.



No. 2
Here is BaLa2W after structural relaxation from Alexandria. Energies are from PBE.

Cell lengths 3.656, 3.656, 10.310 Å; angles 90.00, 90.00, 90.00 degrees
Atoms (fractional coordinates):
1 La 0.000 0.000 0.079
2 W 0.500 0.500 0.250
3 La 0.000 0.000 0.421
4 Ba 0.500 0.500 0.750

Values from the calculation:
As for the space group: P4/mmm. The total magnetization is 0.000 μB/f.u. The calculation puts the calculated volume at 137.8 Å³/cell. The value obtained for the energy of formation from the pure elements is 46.8 kJ/mol of atoms.



No. 3
Here is Pr2GeSbPd6 after structural relaxation from Alexandria. Energies are from PBE.

Cell lengths 6.625, 6.696, 5.515 Å; angles 65.88, 65.63, 75.19 degrees
Atoms (fractional coordinates):
1 Pd 0.310 0.209 0.488
2 Pd 0.084 0.571 0.173
3 Pr 0.253 0.750 0.499
4 Pd 0.690 0.791 0.512
5 Sb 0.000 0.000 0.000
6 Ge 0.500 0.500 0.000
7 Pd 0.688 0.790 0.010
8 Pr 0.747 0.250 0.501
9 Pd 0.312 0.210 0.990
10 Pd 0.916 0.429 0.827

Values from the calculation:
As for the space group: P-1. The total magnetization is 0.000 μB/f.u. The total energy is -0.41293 Ry/atom. The calculation puts the calculated volume at 202.3 Å³/cell.



No. 4
Here is CeMg2Sc after structural relaxation from Alexandria. Energies are from PBE.

Cell lengths 3.608, 5.322, 5.322 Å; angles 90.00, 90.00, 90.00 degrees
Last column: magnetic moment on the atom in μB.
Atoms (fractional coordinates):
1 Mg 0.000 0.500 0.000  0.00
2 Ce 0.500 0.500 0.500  0.84
3 Mg 0.000 0.000 0.500  0.00
4 Sc 0.500 0.000 0.000  -0.05

Values from the calculation:
As for the space group: P4/mmm. The total magnetization is 1.037 μB/f.u. The calculation puts the calculated volume at 102.2 Å³/cell. The value obtained for the energy of formation from the pure elements is 5.6 kJ/mol of atoms.



No. 5
Here is CaScCu3Se4 after structural relaxation from Alexandria. Energies are from PBE.

Cell lengths 6.050, 6.050, 6.050 Å; angles 90.00, 90.00, 90.00 degrees
Atoms (fractional coordinates):
1 Se 0.763 0.763 0.237
2 Cu 0.500 0.000 0.000
3 Ca 0.500 0.500 0.500
4 Se 0.237 0.237 0.237
5 Se 0.237 0.763 0.763
6 Se 0.763 0.237 0.763
7 Sc 0.000 0.000 0.000
8 Cu 0.000 0.000 0.500
9 Cu 0.000 0.500 0.000

Values from the calculation:
As for the space group: P-43m. The total magnetization is 0.000 μB/f.u. The total energy is -0.34593 Ry/atom. The calculation puts the calculated volume at 221.5 Å³/cell.



No. 6
Here is Cs2OsAu after structural relaxation from Alexandria. Energies are from PBE.

Cell lengths 9.387, 9.387, 9.387 Å; angles 94.23, 94.23, 148.50 degrees
Last column: magnetic moment on the atom in μB.
Atoms (fractional coordinates):
1 Cs 0.625 0.790 0.665  0.00
2 Cs 0.040 0.375 0.165  0.00
3 Cs 0.210 0.875 0.835  0.00
4 Os 0.500 0.500 0.000  1.47
5 Cs 0.125 0.960 0.335  0.00
6 Os 0.750 0.250 0.500  1.47
7 Au 0.000 0.000 0.000  0.06
8 Au 0.250 0.750 0.500  0.06

Values from the calculation:
As for the space group: I-42d. The total magnetization is 1.623 μB/f.u. The calculation puts the calculated volume at 415.9 Å³/cell. The value obtained for the energy of formation from the pure elements is 96.4 kJ/mol of atoms.



No. 7
Here is RbBaO2 after structural relaxation from Alexandria. Energies are from PBE.

Cell lengths 8.169, 8.169, 8.169 Å; angles 32.48, 32.48, 32.48 degrees
Last column: magnetic moment on the atom in μB.
Atoms (fractional coordinates):
1 O 0.096 0.096 0.096  0.37
2 Rb 0.500 0.500 0.500  0.00
3 Ba 0.000 0.000 0.000  0.03
4 O 0.904 0.904 0.904  0.37

Values from the calculation:
As for the space group: R-3m. The total magnetization is 0.936 μB/f.u. The total energy is -0.30651 Ry/atom. The calculation puts the calculated volume at 139.8 Å³/cell.



No. 8
Here is Ba2NaUAs6 after structural relaxation from Alexandria. Energies are from PBE.

Cell lengths 7.524, 7.524, 7.524 Å; angles 60.00, 60.00, 90.00 degrees
Last column: magnetic moment on the atom in μB.
Atoms (fractional coordinates):
1 As 0.747 0.253 0.000  0.03
2 Ba 0.750 0.250 0.500  -0.01
3 Ba 0.250 0.750 0.500  -0.01
4 As 0.253 0.253 0.000  0.03
5 Na 0.000 0.000 0.000  0.00
6 As 0.253 0.747 0.000  0.03
7 As 0.253 0.253 0.493  0.03
8 As 0.747 0.747 0.507  0.03
9 As 0.747 0.747 0.000  0.03
10 U 0.500 0.500 0.000  0.62

Values from the calculation:
As for the space group: Fm-3m. The total magnetization is 0.886 μB/f.u. The calculation puts the calculated volume at 301.2 Å³/cell. The value obtained for the energy of formation from the pure elements is -29.4 kJ/mol of atoms.



No. 9
Here is Mn3B after structural relaxation from Alexandria. Energies are from PBE.

Cell lengths 3.765, 2.608, 3.912 Å; angles 90.00, 90.00, 90.00 degrees
Last column: magnetic moment on the atom in μB.
Atoms (fractional coordinates):
1 Mn 0.000 0.500 0.525  0.54
2 Mn 0.000 0.000 0.990  0.39
3 B 0.500 0.000 0.647  0.00
4 Mn 0.500 0.500 0.171  -0.69

Values from the calculation:
As for the space group: Pmm2. The total magnetization is 0.236 μB/f.u. The calculation puts the calculated volume at 38.4 Å³/cell. The value obtained for the energy of formation from the pure elements is 8.2 kJ/mol of atoms.



No. 10
Here is Ga2OsSeBr after structural relaxation from Alexandria. Energies are from PBE.

Cell lengths 5.053, 4.598, 5.053 Å; angles 90.00, 90.00, 90.00 degrees
Atoms (fractional coordinates):
1 Br 0.500 0.500 0.500
2 Se 0.000 0.500 0.000
3 Os 0.000 0.000 0.000
4 Ga 0.500 0.000 0.000
5 Ga 0.000 0.000 0.500

Values from the calculation:
As for the space group: P4/mmm. The total magnetization is 0.000 μB/f.u. The total energy is -0.33698 Ry/atom. The calculation puts the calculated volume at 117.4 Å³/cell.



No. 11
Here is CsTaHg3 after structural relaxation from Alexandria. Energies are from PBE.

Cell lengths 5.584, 5.584, 5.584 Å; angles 90.00, 90.00, 90.00 degrees
Last column: magnetic moment on the atom in μB.
Atoms (fractional coordinates):
1 Hg 0.000 0.000 0.500  0.08
2 Hg 0.500 0.000 0.000  0.09
3 Cs 0.500 0.500 0.500  0.02
4 Hg 0.000 0.500 0.000  0.10
5 Ta 0.000 0.000 0.000  1.26

Values from the calculation:
As for the space group: Pm-3m. The total magnetization is 2.518 μB/f.u. The calculation puts the calculated volume at 174.1 Å³/cell. The value obtained for the energy of formation from the pure elements is 41.0 kJ/mol of atoms.



No. 12
Here is NaGa6Pd4 after structural relaxation from Alexandria. Energies are from PBE.

Cell lengths 3.935, 7.525, 7.525 Å; angles 120.00, 90.00, 90.00 degrees
Atoms (fractional coordinates):
1 Ga 0.000 0.532 0.065
2 Ga 0.500 0.614 0.807
3 Na 0.000 0.000 0.000
4 Ga 0.500 0.193 0.807
5 Ga 0.000 0.935 0.468
6 Pd 0.500 0.796 0.204
7 Pd 0.500 0.796 0.593
8 Ga 0.000 0.532 0.468
9 Pd 0.500 0.407 0.204
10 Ga 0.500 0.193 0.386
11 Pd 0.000 0.333 0.667

Values from the calculation:
As for the space group: P-6m2. The total magnetization is 0.000 μB/f.u. The calculation puts the calculated volume at 193.0 Å³/cell. The value obtained for the energy of formation from the pure elements is -45.0 kJ/mol of atoms.



The lowest calculated volume belongs to which entry? Mn3B



Number 5 is which compound? CaScCu3Se4



Which value of calculated volume does entry 12 give? 193.0 Å³/cell



Among the records above, which one has the lowest calculated volume? Mn3B